Computed, not measured: a geometry-optimized VFeO3 structure at the GGA+U level of DFT.

POSCAR file:
```
VFeO3
1.0
3.782 0.000 0.000
0.000 3.782 0.000
0.000 0.000 3.782
V Fe O
1 1 3
Direct
0.000 0.000 0.000 V
0.500 0.500 0.500 Fe
0.000 0.000 0.500 O
0.000 0.500 0.000 O
0.500 0.000 0.000 O
```

Calculated values
- VASP energy (Ha/atom) = -0.24912
- magnetization (μB/cell) = 4.4